# Cs6BaI8

Cs6BaI8 after structural relaxation (PBE, the Alexandria database).

Computed properties:
Space group   R-3
E   -43.2 eV/cell
Raw formation energy   -1.58 eV per atom

Lattice parameters (Å, degrees): 10.1109 10.1109 10.1109 68.72 68.72 68.72
Fractional coordinates of all 15 atoms:
Cs 0.0150 0.8080 0.4377
Cs 0.1920 0.5623 0.9850
Cs 0.4377 0.0150 0.8080
Cs 0.5623 0.9850 0.1920
Cs 0.8080 0.4377 0.0150
Cs 0.9850 0.1920 0.5623
Ba 0.5000 0.5000 0.5000
I 0.1585 0.1585 0.1585
I 0.1693 0.4046 0.6704
I 0.3296 0.8307 0.5954
I 0.4046 0.6704 0.1693
I 0.5954 0.3296 0.8307
I 0.6704 0.1693 0.4046
I 0.8307 0.5954 0.3296
I 0.8415 0.8415 0.8415